1.
Here is LiCdHg2 after structural relaxation from Alexandria. Energies are from PBE.

Values from the calculation:
Size of the total moment in μB per atom: 0.000

Cell lengths 3.5154, 5.3944, 6.0571 Å; angles 50.87, 90.00, 90.00 degrees
Closest atoms and distances in Å follow each position.
Fractional positions:
Li 0.5000 0.5000 0.5000  6 Hg 3.03-3.04, 4 Cd 3.22
Hg 0.5000 0.5000 0.0000  2 Li 3.03, 4 Cd 3.04, 4 Hg 3.22
Hg 0.0000 0.0000 0.0000  2 Cd 3.03, 4 Li 3.04, 4 Hg 3.22
Cd 0.0000 0.0000 0.5000  6 Hg 3.03-3.04, 4 Li 3.22

2.
Here is Li7Cd4Hg after structural relaxation from Alexandria. Energies are from PBE.

Values from the calculation:
Size of the total moment in μB per atom: 0.000

Cell lengths 4.7170, 4.7170, 11.3691 Å; angles 90.00, 90.00, 120.00 degrees
Closest atoms and distances in Å follow each position.
Fractional positions:
Li 0.6667 0.3333 0.5744  4 Cd 2.77-2.93, 3 Hg 2.85, 1 Li 2.89
Li 0.0000 0.0000 0.2534  1 Hg 2.80, 3 Cd 2.86, 4 Li 2.88
Li 0.3333 0.6667 0.1710  4 Cd 2.79-2.94, 4 Li 2.88-2.89
Li 0.3333 0.6667 0.4256  4 Cd 2.77-2.93, 3 Hg 2.85, 1 Li 2.89
Li 0.0000 0.0000 0.7466  1 Hg 2.80, 3 Cd 2.86, 4 Li 2.88
Li 0.6667 0.3333 0.8290  4 Cd 2.79-2.94, 4 Li 2.88-2.89
Li 0.0000 0.0000 0.0000  6 Cd 2.85, 2 Li 2.88
Cd 0.6667 0.3333 0.0740  7 Li 2.79-2.94, 1 Cd 2.92
Cd 0.3333 0.6667 0.9260  7 Li 2.79-2.94, 1 Cd 2.92
Cd 0.6667 0.3333 0.3311  7 Li 2.77-2.93, 1 Cd 2.92
Cd 0.3333 0.6667 0.6689  7 Li 2.77-2.93, 1 Cd 2.92
Hg 0.0000 0.0000 0.5000  8 Li 2.80-2.85

3.
Here is Li3Cd5Hg12 after structural relaxation from Alexandria. Energies are from PBE.

Values from the calculation:
Size of the total moment in μB per atom: 0.000

Cell lengths 14.5095, 14.5095, 14.5095 Å; angles 109.47, 109.47, 109.47 degrees
Closest atoms and distances in Å follow each position.
Fractional positions:
Cd 0.0000 0.5000 0.0000  6 Hg 2.96
Cd 0.1250 0.3750 0.2500  4 Hg 2.88
Cd 0.7500 0.6250 0.3750  4 Hg 2.88
Cd 0.5000 0.5000 0.5000  6 Hg 2.96
Cd 0.2500 0.3750 0.6250  4 Hg 2.88
Cd 0.6250 0.7500 0.8750  4 Hg 2.88
Cd 0.5000 0.5000 0.0000  6 Hg 2.96
Cd 0.8750 0.6250 0.7500  4 Hg 2.88
Cd 0.2500 0.8750 0.1250  4 Hg 2.88
Cd 0.5000 0.0000 0.5000  6 Hg 2.96
Cd 0.3750 0.1250 0.7500  4 Hg 2.88
Cd 0.8750 0.2500 0.6250  4 Hg 2.88
Cd 0.0000 0.5000 0.5000  6 Hg 2.96
Cd 0.3750 0.2500 0.1250  4 Hg 2.88
Cd 0.7500 0.1250 0.8750  4 Hg 2.88
Cd 0.6250 0.8750 0.2500  4 Hg 2.88
Cd 0.1250 0.7500 0.3750  4 Hg 2.88
Cd 0.0000 0.0000 0.5000  6 Hg 2.96
Cd 0.0000 0.0000 0.0000  6 Hg 2.96
Cd 0.5000 0.0000 0.0000  6 Hg 2.96
Hg 0.9412 0.8309 0.5722  1 Li 2.71, 2 Cd 2.88-2.96, 1 Hg 3.04
Hg 0.0722 0.6311 0.7414  1 Li 2.71, 2 Cd 2.88-2.96, 1 Hg 3.04
Hg 0.8309 0.8897 0.2586  1 Li 2.71, 2 Cd 2.88-2.96, 1 Hg 3.04
Hg 0.8897 0.8309 0.7586  1 Li 2.71, 2 Cd 2.88-2.96, 1 Hg 3.04
Hg 0.1691 0.0588 0.9278  1 Li 2.71, 2 Cd 2.88-2.96, 1 Hg 3.04
Hg 0.5588 0.9278 0.6691  1 Li 2.71, 2 Cd 2.88-2.96, 1 Hg 3.04
Hg 0.6311 0.0722 0.2414  1 Li 2.71, 2 Cd 2.88-2.96, 1 Hg 3.04
Hg 0.4412 0.3689 0.6103  1 Li 2.71, 2 Cd 2.88-2.96, 1 Hg 3.04
Hg 0.4412 0.0722 0.3309  1 Li 2.71, 2 Cd 2.88-2.96, 1 Hg 3.04
Hg 0.2586 0.3897 0.8309  1 Li 2.71, 2 Cd 2.88-2.96, 1 Hg 3.04
Hg 0.8897 0.0588 0.6311  1 Li 2.71, 2 Cd 2.88-2.96, 1 Hg 3.04
Hg 0.3309 0.5722 0.4412  1 Li 2.71, 2 Cd 2.88-2.96, 1 Hg 3.04
Hg 0.6103 0.7414 0.6691  1 Li 2.71, 2 Cd 2.88-2.96, 1 Hg 3.04
Hg 0.9412 0.1103 0.8689  1 Li 2.71, 2 Cd 2.88-2.96, 1 Hg 3.04
Hg 0.7586 0.3309 0.8897  1 Li 2.71, 2 Cd 2.88-2.96, 1 Hg 3.04
Hg 0.6691 0.2414 0.6103  1 Li 2.71, 2 Cd 2.88-2.96, 1 Hg 3.04
Hg 0.3897 0.2586 0.3309  1 Li 2.71, 2 Cd 2.88-2.96, 1 Hg 3.04
Hg 0.1103 0.9412 0.3689  1 Li 2.71, 2 Cd 2.88-2.96, 1 Hg 3.04
Hg 0.7586 0.4278 0.3689  1 Li 2.71, 2 Cd 2.88-2.96, 1 Hg 3.04
Hg 0.0722 0.4412 0.8309  1 Li 2.71, 2 Cd 2.88-2.96, 1 Hg 3.04
Hg 0.3309 0.7586 0.3897  1 Li 2.71, 2 Cd 2.88-2.96, 1 Hg 3.04
Hg 0.7414 0.6103 0.1691  1 Li 2.71, 2 Cd 2.88-2.96, 1 Hg 3.04
Hg 0.0588 0.8897 0.1311  1 Li 2.71, 2 Cd 2.88-2.96, 1 Hg 3.04
Hg 0.6691 0.4278 0.5588  1 Li 2.71, 2 Cd 2.88-2.96, 1 Hg 3.04
Hg 0.5722 0.2414 0.1311  1 Li 2.71, 2 Cd 2.88-2.96, 1 Hg 3.04
Hg 0.6311 0.5588 0.8897  1 Li 2.71, 2 Cd 2.88-2.96, 1 Hg 3.04
Hg 0.8309 0.9412 0.0722  1 Li 2.71, 2 Cd 2.88-2.96, 1 Hg 3.04
Hg 0.1691 0.1103 0.7414  1 Li 2.71, 2 Cd 2.88-2.96, 1 Hg 3.04
Hg 0.8689 0.2586 0.4278  1 Li 2.71, 2 Cd 2.88-2.96, 1 Hg 3.04
Hg 0.0588 0.1691 0.4278  1 Li 2.71, 2 Cd 2.88-2.96, 1 Hg 3.04
Hg 0.4278 0.7586 0.8689  1 Li 2.71, 2 Cd 2.88-2.96, 1 Hg 3.04
Hg 0.6103 0.8689 0.4412  1 Li 2.71, 2 Cd 2.88-2.96, 1 Hg 3.04
Hg 0.9278 0.3689 0.2586  1 Li 2.71, 2 Cd 2.88-2.96, 1 Hg 3.04
Hg 0.5588 0.6311 0.3897  1 Li 2.71, 2 Cd 2.88-2.96, 1 Hg 3.04
Hg 0.8689 0.6103 0.9412  1 Li 2.71, 2 Cd 2.88-2.96, 1 Hg 3.04
Hg 0.2414 0.6691 0.1103  1 Li 2.71, 2 Cd 2.88-2.96, 1 Hg 3.04
Hg 0.7414 0.1311 0.0722  1 Li 2.71, 2 Cd 2.88-2.96, 1 Hg 3.04
Hg 0.4278 0.6691 0.0588  1 Li 2.71, 2 Cd 2.88-2.96, 1 Hg 3.04
Hg 0.5722 0.3309 0.9412  1 Li 2.71, 2 Cd 2.88-2.96, 1 Hg 3.04
Hg 0.3897 0.1311 0.5588  1 Li 2.71, 2 Cd 2.88-2.96, 1 Hg 3.04
Hg 0.3689 0.4412 0.1103  1 Li 2.71, 2 Cd 2.88-2.96, 1 Hg 3.04
Hg 0.1311 0.3897 0.0588  1 Li 2.71, 2 Cd 2.88-2.96, 1 Hg 3.04
Hg 0.2414 0.5722 0.6311  1 Li 2.71, 2 Cd 2.88-2.96, 1 Hg 3.04
Hg 0.3689 0.9278 0.7586  1 Li 2.71, 2 Cd 2.88-2.96, 1 Hg 3.04
Hg 0.2586 0.8689 0.9278  1 Li 2.71, 2 Cd 2.88-2.96, 1 Hg 3.04
Hg 0.9278 0.5588 0.1691  1 Li 2.71, 2 Cd 2.88-2.96, 1 Hg 3.04
Hg 0.1311 0.7414 0.5722  1 Li 2.71, 2 Cd 2.88-2.96, 1 Hg 3.04
Hg 0.1103 0.1691 0.2414  1 Li 2.71, 2 Cd 2.88-2.96, 1 Hg 3.04
Li 0.6250 0.3750 0.7500  4 Hg 2.71
Li 0.7500 0.8750 0.6250  4 Hg 2.71
Li 0.3750 0.7500 0.6250  4 Hg 2.71
Li 0.8750 0.1250 0.2500  4 Hg 2.71
Li 0.7500 0.3750 0.1250  4 Hg 2.71
Li 0.2500 0.6250 0.8750  4 Hg 2.71
Li 0.2500 0.1250 0.3750  4 Hg 2.71
Li 0.1250 0.2500 0.8750  4 Hg 2.71
Li 0.6250 0.2500 0.3750  4 Hg 2.71
Li 0.1250 0.8750 0.7500  4 Hg 2.71
Li 0.8750 0.7500 0.1250  4 Hg 2.71
Li 0.3750 0.6250 0.2500  4 Hg 2.71

4.
Here is Li4CdHg2 after structural relaxation from Alexandria. Energies are from PBE.

Values from the calculation:
Size of the total moment in μB per atom: 0.000

Cell lengths 7.2537, 5.2893, 7.8145 Å; angles 90.00, 115.13, 90.00 degrees
Closest atoms and distances in Å follow each position.
Fractional positions:
Li 0.4203 0.9979 0.7910  2 Li 2.62-2.67, 3 Hg 2.76-2.80, 1 Cd 2.86
Li 0.4203 0.5021 0.7910  2 Li 2.62-2.67, 3 Hg 2.76-2.80, 1 Cd 2.86
Li 0.5797 0.0021 0.2090  2 Li 2.62-2.67, 3 Hg 2.76-2.80, 1 Cd 2.86
Li 0.9461 0.2500 0.1611  4 Hg 2.71-2.91, 1 Cd 2.78
Li 0.0005 0.2500 0.5737  1 Cd 2.77, 2 Hg 2.86, 5 Li 2.88-3.09
Li 0.9995 0.7500 0.4263  1 Cd 2.77, 2 Hg 2.86, 5 Li 2.88-3.09
Li 0.0539 0.7500 0.8389  4 Hg 2.71-2.91, 1 Cd 2.78
Li 0.5797 0.4979 0.2090  2 Li 2.62-2.67, 3 Hg 2.76-2.80, 1 Cd 2.86
Cd 0.2419 0.7500 0.2312  4 Li 2.77-2.86, 4 Hg 3.03-3.08
Cd 0.7581 0.2500 0.7688  4 Li 2.77-2.86, 4 Hg 3.03-3.08
Hg 0.6783 0.7500 0.5463  4 Li 2.71-2.86
Hg 0.2184 0.2500 0.9764  8 Li 2.80-2.91, 1 Cd 3.03
Hg 0.3217 0.2500 0.4537  4 Li 2.71-2.86
Hg 0.7816 0.7500 0.0236  8 Li 2.80-2.91, 1 Cd 3.03

5.
Here is Li2CdHg after structural relaxation from Alexandria. Energies are from PBE.

Values from the calculation:
Size of the total moment in μB per atom: 0.000

Cell lengths 4.6520, 3.3756, 4.6520 Å; angles 90.00, 90.00, 90.00 degrees
Closest atoms and distances in Å follow each position.
Fractional positions:
Cd 0.0000 0.6252 0.3749  8 Li 2.87-2.88
Li 0.5000 0.1253 0.3752  4 Hg 2.87, 4 Cd 2.87
Li 0.0000 0.1246 0.8748  4 Cd 2.87-2.88, 4 Hg 2.87
Hg 0.5000 0.6250 0.8751  8 Li 2.87

6.
Here is Li2Cd8Hg after structural relaxation from Alexandria. Energies are from PBE.

Values from the calculation:
Size of the total moment in μB per atom: 0.000

Cell lengths 4.2256, 6.9887, 8.6782 Å; angles 107.29, 104.09, 90.00 degrees
Closest atoms and distances in Å follow each position.
Fractional positions:
Cd 0.3992 0.5457 0.7983  3 Li 2.99-3.16, 7 Cd 3.00-3.19, 1 Hg 3.11
Cd 0.8552 0.8119 0.7103  3 Li 3.00-3.02, 6 Cd 3.05-3.16, 2 Hg 3.19
Cd 0.6008 0.4543 0.2017  3 Li 2.99-3.16, 7 Cd 3.00-3.19, 1 Hg 3.11
Cd 0.1448 0.1881 0.2897  3 Li 3.00-3.02, 6 Cd 3.05-3.16, 2 Hg 3.19
Cd 0.6836 0.9001 0.3671  8 Cd 3.00-3.13, 3 Li 3.03-3.12
Cd 0.9545 0.2765 0.9090  8 Cd 3.03-3.19, 2 Hg 3.11, 1 Li 3.28
Cd 0.3164 0.0999 0.6329  8 Cd 3.00-3.13, 3 Li 3.03-3.12
Cd 0.0455 0.7235 0.0910  8 Cd 3.03-3.19, 2 Hg 3.11, 1 Li 3.28
Hg 0.5000 0.0000 0.0000  12 Cd 3.11-3.37
Li 0.7736 0.3626 0.5471  10 Cd 2.99-3.28, 2 Li 3.12
Li 0.2264 0.6374 0.4529  10 Cd 2.99-3.28, 2 Li 3.12

E_tot for every record listed, in sequence, given in eV/cell: -3.977; -20.315; -53.788; -21.373; -6.298; -12.486.